PrNd4Er7 after structural relaxation, computed with PBE.

a b c (Å): 7.1452 8.0133 7.9975
angles (deg): 84.19 102.48 63.25
With the nearest neighbours (Å) after each atom.
Atoms (fractional coordinates):
Pr1 0.0000 0.0000 0.0000  8 Er 3.56-3.59, 4 Nd 3.59-3.60
Er1 0.9991 0.6676 0.3318  6 Er 3.56-3.60, 5 Nd 3.56-3.59, 1 Pr 3.57
Er2 0.7491 0.5018 0.9991  4 Nd 3.55-3.58, 7 Er 3.56-3.59, 1 Pr 3.59
Er3 0.5000 0.0000 0.0000  6 Er 3.57-3.58, 2 Pr 3.57, 4 Nd 3.57-3.58
Er4 0.2509 0.4982 0.0009  4 Nd 3.55-3.58, 7 Er 3.56-3.59, 1 Pr 3.59
Er5 0.7499 0.1661 0.3328  1 Pr 3.56, 5 Nd 3.57-3.59, 6 Er 3.57-3.60
Er6 0.0009 0.3324 0.6682  6 Er 3.56-3.60, 5 Nd 3.56-3.59, 1 Pr 3.57
Er7 0.2501 0.8339 0.6672  1 Pr 3.56, 5 Nd 3.57-3.59, 6 Er 3.57-3.60
Nd1 0.5012 0.6647 0.3326  8 Er 3.55-3.59, 3 Nd 3.57-3.61, 1 Pr 3.59
Nd2 0.2482 0.1690 0.3331  8 Er 3.56-3.59, 1 Pr 3.60, 3 Nd 3.60-3.61
Nd3 0.7518 0.8310 0.6669  8 Er 3.56-3.59, 1 Pr 3.60, 3 Nd 3.60-3.61
Nd4 0.4988 0.3353 0.6674  8 Er 3.55-3.59, 3 Nd 3.57-3.61, 1 Pr 3.59

Computed properties:
- Calculated total energy: -4.629 eV per atom
- M_tot: 0.000 μB/f.u.
- E_form: 19.8 meV per atom
- V: 389 Å³/cell